(1)
Computed, not measured: crystalline TlSe3N at its relaxed geometry at the PBE-GGA level of DFT.

Output
N(E_F), states/eV/cell: 3.752
Energy relative to the elements, uncorrected, kJ/mol of atoms: 74
Uncorrected energy, eV for the cell shown: -17.30
Mass density, Mg/m³: 7.7
Space group: Pm-3m (221)
Energy above the most stable polymorph in this dataset, eV per atom: 0.0000

Lattice parameters (Å, degrees): 4.614 4.614 4.614 90.00 90.00 90.00
Atoms (fractional coordinates):
Tl 0.500 0.500 0.500
Se 0.000 0.500 0.000
Se 0.000 0.000 0.500
Se 0.500 0.000 0.000
N 0.000 0.000 0.000

(2)
Computed, not measured: crystalline TlSe2N at its relaxed geometry at the PBE-GGA level of DFT.

Output
N(E_F), states/eV/cell: 1.112
Energy relative to the elements, uncorrected, kJ/mol of atoms: 58
Uncorrected energy, eV for the cell shown: -30.50
Mass density, Mg/m³: 6.6
Space group: I-42d (122)
Energy above the most stable polymorph in this dataset, eV per atom: 0.0077

Lattice parameters (Å, degrees): 6.732 6.732 6.342 57.95 57.95 90.00
Atoms (fractional coordinates):
Tl 0.000 0.000 0.000
Tl 0.750 0.250 0.500
Se 0.484 0.125 0.250
Se 0.266 0.625 0.250
Se 0.375 0.516 0.750
Se 0.875 0.734 0.750
N 0.500 0.500 0.000
N 0.250 0.750 0.500

(3)
Computed, not measured: crystalline TlSe3N at its relaxed geometry at the PBE-GGA level of DFT.

Output
N(E_F), states/eV/cell: 2.401
Energy relative to the elements, uncorrected, kJ/mol of atoms: 161
Uncorrected energy, eV for the cell shown: -12.82
Mass density, Mg/m³: 4.3
Space group: Pm-3m (221)
Energy above the most stable polymorph in this dataset, eV per atom: 0.8957

Lattice parameters (Å, degrees): 5.596 5.596 5.596 90.00 90.00 90.00
Atoms (fractional coordinates):
Tl 0.000 0.000 0.000
Se 0.000 0.500 0.000
Se 0.000 0.000 0.500
Se 0.500 0.000 0.000
N 0.500 0.500 0.500

(4)
Computed, not measured: crystalline TlSe2N at its relaxed geometry at the PBE-GGA level of DFT.

Output
N(E_F), states/eV/cell: 3.134
Energy relative to the elements, uncorrected, kJ/mol of atoms: 138
Uncorrected energy, eV for the cell shown: -11.96
Mass density, Mg/m³: 7.6
Space group: Fm-3m (225)
Energy above the most stable polymorph in this dataset, eV per atom: 0.8310

Lattice parameters (Å, degrees): 4.881 4.881 4.881 60.00 60.00 60.00
Atoms (fractional coordinates):
Tl 0.500 0.500 0.500
Se 0.250 0.250 0.250
Se 0.750 0.750 0.750
N 0.000 0.000 0.000

(5)
Computed, not measured: crystalline TlSe2N2 at its relaxed geometry at the PBE-GGA level of DFT.

Output
N(E_F), states/eV/cell: 3.052
Energy relative to the elements, uncorrected, kJ/mol of atoms: 180
Uncorrected energy, eV for the cell shown: -16.67
Mass density, Mg/m³: 5.8
Space group: P4/mmm (123)
Energy above the most stable polymorph in this dataset, eV per atom: 1.8708

Lattice parameters (Å, degrees): 4.305 4.305 6.052 90.00 90.00 90.00
Atoms (fractional coordinates):
Tl 0.000 0.000 0.000
Se 0.500 0.500 0.500
Se 0.000 0.000 0.500
N 0.000 0.500 0.000
N 0.500 0.000 0.000

(6)
Computed, not measured: crystalline TlWSe2N at its relaxed geometry at the PBE-GGA level of DFT.

Output
N(E_F), states/eV/cell: 7.600
Energy relative to the elements, uncorrected, kJ/mol of atoms: 211
Uncorrected energy, eV for the cell shown: -19.67
Mass density, Mg/m³: 8.4
Space group: P4/mmm (123)
Energy above the most stable polymorph in this dataset, eV per atom: 2.1864

Lattice parameters (Å, degrees): 5.325 5.325 3.910 90.00 90.00 90.00
Atoms (fractional coordinates):
Tl 0.000 0.000 0.000
Se 0.000 0.500 0.000
Se 0.500 0.000 0.000
W 0.500 0.500 0.500
N 0.000 0.000 0.500

(7)
Computed, not measured: crystalline TlWSe2N at its relaxed geometry at the PBE-GGA level of DFT.

Output
N(E_F), states/eV/cell: 3.324
Energy relative to the elements, uncorrected, kJ/mol of atoms: 0
Uncorrected energy, eV for the cell shown: -30.60
Mass density, Mg/m³: 8.9
Space group: P4/mmm (123)
Energy above the most stable polymorph in this dataset, eV per atom: 0.0000

Lattice parameters (Å, degrees): 5.189 5.189 3.867 90.00 90.00 90.00
Atoms (fractional coordinates):
Tl 0.500 0.500 0.500
Se 0.000 0.500 0.000
Se 0.500 0.000 0.000
W 0.000 0.000 0.000
N 0.000 0.000 0.500

(8)
Computed, not measured: crystalline YTlSe2N at its relaxed geometry at the PBE-GGA level of DFT.

Output
N(E_F), states/eV/cell: 4.693
Energy relative to the elements, uncorrected, kJ/mol of atoms: -13
Uncorrected energy, eV for the cell shown: -24.81
Mass density, Mg/m³: 5.3
Space group: P4/mmm (123)
Energy above the most stable polymorph in this dataset, eV per atom: 0.0000

Lattice parameters (Å, degrees): 5.610 5.610 4.610 90.00 90.00 90.00
Atoms (fractional coordinates):
Y 0.000 0.000 0.000
Tl 0.500 0.500 0.500
Se 0.000 0.500 0.000
Se 0.500 0.000 0.000
N 0.000 0.000 0.500

(9)
Computed, not measured: crystalline YTlSe2N at its relaxed geometry at the PBE-GGA level of DFT.

Output
N(E_F), states/eV/cell: 2.965
Energy relative to the elements, uncorrected, kJ/mol of atoms: 34
Uncorrected energy, eV for the cell shown: -22.38
Mass density, Mg/m³: 6.2
Space group: P4/mmm (123)
Energy above the most stable polymorph in this dataset, eV per atom: 0.4862

Lattice parameters (Å, degrees): 5.439 5.439 4.189 90.00 90.00 90.00
Atoms (fractional coordinates):
Y 0.500 0.500 0.500
Tl 0.000 0.000 0.000
Se 0.000 0.500 0.000
Se 0.500 0.000 0.000
N 0.000 0.000 0.500

(10)
Computed, not measured: crystalline TlZnSeN2 at its relaxed geometry at the PBE-GGA level of DFT.

Output
N(E_F), states/eV/cell: 2.168
Energy relative to the elements, uncorrected, kJ/mol of atoms: 123
Uncorrected energy, eV for the cell shown: -17.39
Mass density, Mg/m³: 6.6
Space group: P4/mmm (123)
Energy above the most stable polymorph in this dataset, eV per atom: 0.0000

Lattice parameters (Å, degrees): 4.108 4.108 5.611 90.00 90.00 90.00
Atoms (fractional coordinates):
Tl 0.500 0.500 0.500
Zn 0.000 0.000 0.000
Se 0.000 0.000 0.500
N 0.000 0.500 0.000
N 0.500 0.000 0.000

(11)
Computed, not measured: crystalline TlZnSeN2 at its relaxed geometry at the PBE-GGA level of DFT.

Output
N(E_F), states/eV/cell: 2.220
Energy relative to the elements, uncorrected, kJ/mol of atoms: 166
Uncorrected energy, eV for the cell shown: -15.19
Mass density, Mg/m³: 5.6
Space group: P4/mmm (123)
Energy above the most stable polymorph in this dataset, eV per atom: 0.4405

Lattice parameters (Å, degrees): 4.289 4.289 6.052 90.00 90.00 90.00
Atoms (fractional coordinates):
Tl 0.000 0.000 0.000
Zn 0.500 0.500 0.500
Se 0.000 0.000 0.500
N 0.000 0.500 0.000
N 0.500 0.000 0.000

(12)
Computed, not measured: crystalline ZrTlSe2N at its relaxed geometry at the PBE-GGA level of DFT.

Output
N(E_F), states/eV/cell: 3.308
Energy relative to the elements, uncorrected, kJ/mol of atoms: -29
Uncorrected energy, eV for the cell shown: -27.73
Mass density, Mg/m³: 6.3
Space group: P4/mmm (123)
Energy above the most stable polymorph in this dataset, eV per atom: 0.0000

Lattice parameters (Å, degrees): 5.411 5.411 4.240 90.00 90.00 90.00
Atoms (fractional coordinates):
Tl 0.500 0.500 0.500
Se 0.000 0.500 0.000
Se 0.500 0.000 0.000
Zr 0.000 0.000 0.000
N 0.000 0.000 0.500

(13)
Computed, not measured: crystalline ZrTlSe2N at its relaxed geometry at the PBE-GGA level of DFT.

Output
N(E_F), states/eV/cell: 8.293
Energy relative to the elements, uncorrected, kJ/mol of atoms: 94
Uncorrected energy, eV for the cell shown: -21.34
Mass density, Mg/m³: 6.7
Space group: P4/mmm (123)
Energy above the most stable polymorph in this dataset, eV per atom: 1.2786

Lattice parameters (Å, degrees): 5.354 5.354 4.041 90.00 90.00 90.00
Atoms (fractional coordinates):
Tl 0.000 0.000 0.000
Se 0.000 0.500 0.000
Se 0.500 0.000 0.000
Zr 0.500 0.500 0.500
N 0.000 0.000 0.500

(14)
Computed, not measured: crystalline ZrTlSeN2 at its relaxed geometry at the PBE-GGA level of DFT.

Output
N(E_F), states/eV/cell: 2.379
Energy relative to the elements, uncorrected, kJ/mol of atoms: 135
Uncorrected energy, eV for the cell shown: -24.05
Mass density, Mg/m³: 6.9
Space group: P4/mmm (123)
Energy above the most stable polymorph in this dataset, eV per atom: 1.2174

Lattice parameters (Å, degrees): 4.195 4.195 5.483 90.00 90.00 90.00
Atoms (fractional coordinates):
Tl 0.000 0.000 0.000
Se 0.000 0.000 0.500
Zr 0.500 0.500 0.500
N 0.000 0.500 0.000
N 0.500 0.000 0.000

(15)
Computed, not measured: crystalline ZrTlSeN2 at its relaxed geometry at the PBE-GGA level of DFT.

Output
N(E_F), states/eV/cell: 4.190
Energy relative to the elements, uncorrected, kJ/mol of atoms: 18
Uncorrected energy, eV for the cell shown: -30.14
Mass density, Mg/m³: 6.6
Space group: P4/mmm (123)
Energy above the most stable polymorph in this dataset, eV per atom: 0.0000

Lattice parameters (Å, degrees): 4.209 4.209 5.720 90.00 90.00 90.00
Atoms (fractional coordinates):
Tl 0.500 0.500 0.500
Se 0.000 0.000 0.500
Zr 0.000 0.000 0.000
N 0.000 0.500 0.000
N 0.500 0.000 0.000

(16)
Computed, not measured: crystalline Tm5Se5N2 at its relaxed geometry at the PBE-GGA level of DFT.

Output
N(E_F), states/eV/cell: 3.421
Energy relative to the elements, uncorrected, kJ/mol of atoms: -160
Uncorrected energy, eV for the cell shown: -76.37
Mass density, Mg/m³: 8.3
Space group: C2/m (12)

Lattice parameters (Å, degrees): 3.800 6.708 10.747 104.04 90.00 106.46
Atoms (fractional coordinates):
Tm 0.094 0.187 0.364
Tm 0.645 0.291 0.798
Tm 0.355 0.709 0.202
Tm 0.906 0.813 0.636
Tm 0.000 0.000 0.000
Se 0.500 0.000 0.500
Se 0.664 0.329 0.071
Se 0.755 0.509 0.367
Se 0.245 0.491 0.633
Se 0.336 0.671 0.929
N 0.044 0.089 0.800
N 0.956 0.911 0.200

(17)
Computed, not measured: crystalline Tm4Se3N at its relaxed geometry at the PBE-GGA level of DFT.

Output
N(E_F), states/eV/cell: 6.623
Energy relative to the elements, uncorrected, kJ/mol of atoms: -145
Uncorrected energy, eV for the cell shown: -97.42
Mass density, Mg/m³: 7.8
Space group: Pmn2_1 (31)

Lattice parameters (Å, degrees): 5.516 7.472 9.534 90.00 90.00 90.00
Atoms (fractional coordinates):
Tm 0.074 0.854 0.000
Tm 0.590 0.137 0.000
Tm 0.064 0.249 0.214
Tm 0.564 0.751 0.286
Tm 0.090 0.863 0.500
Tm 0.574 0.146 0.500
Tm 0.564 0.751 0.714
Tm 0.064 0.249 0.786
Se 0.577 0.762 0.000
Se 0.066 0.647 0.261
Se 0.566 0.353 0.239
Se 0.077 0.238 0.500
Se 0.566 0.353 0.761
Se 0.066 0.647 0.739
N 0.015 0.146 0.000
N 0.515 0.854 0.500

(18)
Computed, not measured: crystalline Tm5Se5N at its relaxed geometry at the PBE-GGA level of DFT.

Output
N(E_F), states/eV/cell: 3.056
Energy relative to the elements, uncorrected, kJ/mol of atoms: -166
Uncorrected energy, eV for the cell shown: -67.07
Mass density, Mg/m³: 8.3
Space group: C2/m (12)

Lattice parameters (Å, degrees): 5.568 6.769 7.752 107.33 90.00 114.28
Atoms (fractional coordinates):
Tm 0.851 0.703 0.149
Tm 0.853 0.706 0.702
Tm 0.500 0.000 0.000
Tm 0.147 0.294 0.298
Tm 0.149 0.297 0.851
Se 0.675 0.349 0.335
Se 0.663 0.325 0.822
Se 0.000 0.000 0.500
Se 0.337 0.675 0.178
Se 0.325 0.651 0.665
N 0.000 0.000 0.000

(19)
Computed, not measured: crystalline Tm12Se3N5 at its relaxed geometry at the PBE-GGA level of DFT.

Output
N(E_F), states/eV/cell: 58.827
Energy relative to the elements, uncorrected, kJ/mol of atoms: -108
Uncorrected energy, eV for the cell shown: -512.22
Mass density, Mg/m³: 9.2
Space group: Ia-3d (230)

Lattice parameters (Å, degrees): 13.007 13.007 13.007 109.47 109.47 109.47
Atoms (fractional coordinates):
Se 0.750 0.375 0.125
Se 0.875 0.750 0.125
Se 0.375 0.750 0.625
Se 0.250 0.125 0.375
Se 0.875 0.125 0.250
Se 0.375 0.625 0.250
Se 0.625 0.375 0.750
Se 0.125 0.875 0.750
Se 0.750 0.875 0.625
Se 0.625 0.250 0.375
Se 0.125 0.250 0.875
Se 0.250 0.625 0.875
N 0.125 0.375 0.250
N 0.000 0.500 0.000
N 0.000 0.000 0.000
N 0.375 0.250 0.125
N 0.500 0.000 0.500
N 0.500 0.500 0.000
N 0.125 0.750 0.375
N 0.750 0.125 0.875
N 0.750 0.625 0.375
N 0.375 0.125 0.750
N 0.625 0.875 0.250
N 0.500 0.500 0.500
N 0.500 0.000 0.000
N 0.000 0.000 0.500
N 0.250 0.375 0.625
N 0.250 0.875 0.125
N 0.000 0.500 0.500
N 0.875 0.250 0.625
N 0.625 0.750 0.875
N 0.875 0.625 0.750
Tm 0.700 0.111 0.014
Tm 0.314 0.514 0.403
Tm 0.986 0.389 0.300
Tm 0.514 0.200 0.111
Tm 0.589 0.700 0.686
Tm 0.986 0.597 0.186
Tm 0.314 0.800 0.411
Tm 0.097 0.911 0.111
Tm 0.597 0.986 0.686
Tm 0.700 0.589 0.186
Tm 0.800 0.486 0.389
Tm 0.814 0.903 0.014
Tm 0.111 0.700 0.514
Tm 0.389 0.403 0.089
Tm 0.089 0.903 0.389
Tm 0.411 0.111 0.597
Tm 0.089 0.186 0.200
Tm 0.486 0.686 0.097
Tm 0.814 0.911 0.300
Tm 0.111 0.411 0.097
Tm 0.389 0.986 0.800
Tm 0.597 0.611 0.411
Tm 0.903 0.814 0.514
Tm 0.800 0.314 0.911
Tm 0.403 0.389 0.589
Tm 0.097 0.186 0.486
Tm 0.200 0.686 0.089
Tm 0.186 0.089 0.700
Tm 0.611 0.014 0.200
Tm 0.889 0.589 0.903
Tm 0.514 0.314 0.903
Tm 0.589 0.889 0.403
Tm 0.911 0.814 0.800
Tm 0.911 0.097 0.611
Tm 0.889 0.300 0.486
Tm 0.186 0.097 0.986
Tm 0.611 0.597 0.911
Tm 0.403 0.014 0.314
Tm 0.300 0.411 0.814
Tm 0.200 0.514 0.611
Tm 0.903 0.089 0.889
Tm 0.686 0.200 0.589
Tm 0.486 0.800 0.889
Tm 0.014 0.403 0.814
Tm 0.411 0.300 0.314
Tm 0.014 0.611 0.700
Tm 0.686 0.486 0.597
Tm 0.300 0.889 0.986

(20)
Computed, not measured: crystalline Tm4Se2N at its relaxed geometry at the PBE-GGA level of DFT.

Output
N(E_F), states/eV/cell: 2.889
Energy relative to the elements, uncorrected, kJ/mol of atoms: -93
Uncorrected energy, eV for the cell shown: -39.94
Mass density, Mg/m³: 8.0
Space group: I4/mmm (139)

Lattice parameters (Å, degrees): 4.330 4.330 9.920 77.39 77.39 90.00
Atoms (fractional coordinates):
Tm 0.325 0.325 0.351
Tm 0.675 0.675 0.649
Tm 0.000 0.500 0.000
Tm 0.500 0.000 0.000
Se 0.177 0.177 0.646
Se 0.823 0.823 0.354
N 0.000 0.000 0.000

(21)
Computed, not measured: crystalline TmUSeN2 at its relaxed geometry at the PBE-GGA level of DFT.

Output
N(E_F), states/eV/cell: 2.954
Energy relative to the elements, uncorrected, kJ/mol of atoms: -153
Uncorrected energy, eV for the cell shown: -43.83
Mass density, Mg/m³: 9.7
Space group: I4mm (107)

Lattice parameters (Å, degrees): 3.815 3.815 6.604 106.79 106.79 90.00
Atoms (fractional coordinates):
Tm 0.844 0.844 0.689
U 0.162 0.162 0.324
Se 0.503 0.503 0.006
N 0.745 0.245 0.491
N 0.245 0.745 0.491

(22)
Computed, not measured: crystalline U3Se3N at its relaxed geometry at the PBE-GGA level of DFT.

Output
N(E_F), states/eV/cell: 27.642
Energy relative to the elements, uncorrected, kJ/mol of atoms: -105
Uncorrected energy, eV for the cell shown: -120.54
Mass density, Mg/m³: 9.9
Space group: C2/m (12)

Lattice parameters (Å, degrees): 7.129 7.129 6.908 95.24 95.24 110.95
Atoms (fractional coordinates):
U 0.906 0.906 0.175
U 0.850 0.540 0.708
U 0.540 0.850 0.708
U 0.150 0.460 0.292
U 0.460 0.150 0.292
U 0.094 0.094 0.825
Se 0.606 0.606 0.337
Se 0.159 0.841 0.500
Se 0.841 0.159 0.500
Se 0.234 0.766 0.000
Se 0.766 0.234 0.000
Se 0.394 0.394 0.663
N 0.800 0.800 0.846
N 0.200 0.200 0.154